DFT (PBE-GGA) results for NpTl2HO4 after structural relaxation.

Cell: 3.5812 7.7224 5.1887 Å, 94.80 90.00 90.00°
Each line ends with the local moment (μB).
Sites, in units of the cell vectors:
Np 0.0000 0.5000 0.5000  1.56
Tl 0.0000 0.0000 0.0000  0.01
Tl 0.5000 0.0000 0.5000  0.01
H 0.5000 0.5000 0.0000  0.00
O 0.0000 0.7424 0.6078  -0.06
O 0.0000 0.2576 0.3922  -0.06
O 0.5000 0.5344 0.2387  -0.06
O 0.5000 0.4656 0.7613  -0.06

Summary:
- Space group: P2/m, No. 10
- Total magnetic moment: 1.381 Bohr magnetons per cell
- Final energy: -53.7 eV per cell
- ρ: 8.25 Mg/m³
- Density of states at the Fermi level: 3.85 states/eV/cell